Below is a geometry-optimized GaSn3Se6 structure, with properties calculated at the PBE level.

- raw formation energy (eV/atom) = -0.32
- final energy (eV per atom) = -3.91
- DOS at the Fermi energy (states/eV per atom) = 0.21
- calculated density (g/cm3) = 5.6

a = 9.004 Å, b = 9.004 Å, c = 6.786 Å
α = 90.00°, β = 90.00°, γ = 104.37°
Fractional coordinates of all 20 atoms:
Ga 0.209 0.791 0.500
Ga 0.791 0.209 0.000
Sn 0.104 0.267 0.497
Sn 0.267 0.104 0.997
Sn 0.414 0.586 0.836
Sn 0.586 0.414 0.336
Sn 0.733 0.896 0.497
Sn 0.896 0.733 0.997
Se 0.052 0.948 0.659
Se 0.114 0.549 0.679
Se 0.209 0.791 0.142
Se 0.281 0.391 0.174
Se 0.391 0.281 0.674
Se 0.451 0.886 0.679
Se 0.549 0.114 0.179
Se 0.609 0.719 0.174
Se 0.719 0.609 0.674
Se 0.791 0.209 0.642
Se 0.886 0.451 0.179
Se 0.948 0.052 0.159

---

Below is a geometry-optimized GaSn2Se structure, with properties calculated at the PBE level.

- raw formation energy (eV/atom) = -0.01
- final energy (eV per atom) = -3.64
- DOS at the Fermi energy (states/eV per atom) = 0.64
- calculated density (g/cm3) = 4.9

a = 7.954 Å, b = 7.954 Å, c = 7.954 Å
α = 133.36°, β = 133.36°, γ = 68.09°
Fractional coordinates of all 8 atoms:
Ga 0.000 0.000 0.000
Ga 0.750 0.250 0.500
Sn 0.105 0.625 0.980
Sn 0.375 0.355 0.480
Sn 0.645 0.125 0.020
Sn 0.875 0.895 0.520
Se 0.250 0.750 0.500
Se 0.500 0.500 0.000

---

Below is a geometry-optimized Ga4SnSe7 structure, with properties calculated at the PBE level.

- raw formation energy (eV/atom) = -0.56
- final energy (eV per atom) = -3.94
- DOS at the Fermi energy (states/eV per atom) = 0.00
- calculated density (g/cm3) = 4.7

a = 15.642 Å, b = 6.767 Å, c = 6.389 Å
α = 90.00°, β = 90.00°, γ = 90.00°
Fractional coordinates of all 24 atoms:
Ga 0.124 0.160 0.000
Ga 0.246 0.679 0.993
Ga 0.254 0.321 0.493
Ga 0.376 0.840 0.500
Ga 0.624 0.840 0.500
Ga 0.746 0.321 0.493
Ga 0.754 0.679 0.993
Ga 0.876 0.160 0.000
Sn 0.000 0.461 0.460
Sn 0.500 0.539 0.960
Se 0.000 0.363 0.901
Se 0.118 0.828 0.874
Se 0.119 0.162 0.389
Se 0.242 0.672 0.385
Se 0.258 0.328 0.885
Se 0.381 0.838 0.889
Se 0.382 0.172 0.374
Se 0.500 0.637 0.401
Se 0.618 0.172 0.374
Se 0.619 0.838 0.889
Se 0.742 0.328 0.885
Se 0.758 0.672 0.385
Se 0.881 0.162 0.389
Se 0.882 0.828 0.874

---

Below is a geometry-optimized GaSnSe2 structure, with properties calculated at the PBE level.

- raw formation energy (eV/atom) = -0.34
- final energy (eV per atom) = -3.84
- DOS at the Fermi energy (states/eV per atom) = 0.21
- calculated density (g/cm3) = 5.9

a = 3.931 Å, b = 3.931 Å, c = 7.281 Å
α = 90.00°, β = 90.00°, γ = 120.00°
Fractional coordinates of all 4 atoms:
Ga 0.000 0.000 0.000
Sn 0.000 0.000 0.500
Se 0.333 0.667 0.774
Se 0.667 0.333 0.226

---

Below is a geometry-optimized GaSnSe2 structure, with properties calculated at the PBE level.

- raw formation energy (eV/atom) = -0.27
- final energy (eV per atom) = -3.77
- DOS at the Fermi energy (states/eV per atom) = 0.51
- calculated density (g/cm3) = 5.1

a = 6.708 Å, b = 6.708 Å, c = 6.708 Å
α = 115.61°, β = 115.61°, γ = 97.79°
Fractional coordinates of all 8 atoms:
Ga 0.000 0.000 0.000
Ga 0.750 0.250 0.500
Sn 0.250 0.750 0.500
Sn 0.500 0.500 0.000
Se 0.090 0.625 0.965
Se 0.375 0.340 0.465
Se 0.660 0.125 0.035
Se 0.875 0.910 0.535

---

Below is a geometry-optimized GaSnSe3 structure, with properties calculated at the PBE level.

- raw formation energy (eV/atom) = 0.00
- final energy (eV per atom) = -3.50
- DOS at the Fermi energy (states/eV per atom) = 0.49
- calculated density (g/cm3) = 5.6

a = 5.005 Å, b = 5.005 Å, c = 5.005 Å
α = 90.00°, β = 90.00°, γ = 90.00°
Fractional coordinates of all 5 atoms:
Ga 0.000 0.000 0.000
Sn 0.500 0.500 0.500
Se 0.000 0.000 0.500
Se 0.000 0.500 0.000
Se 0.500 0.000 0.000

---

Below is a geometry-optimized GaSnSe structure, with properties calculated at the PBE level.

- raw formation energy (eV/atom) = -0.19
- final energy (eV per atom) = -3.69
- DOS at the Fermi energy (states/eV per atom) = 0.22
- calculated density (g/cm3) = 5.5

a = 6.266 Å, b = 8.142 Å, c = 6.544 Å
α = 90.00°, β = 106.15°, γ = 90.00°
Fractional coordinates of all 12 atoms:
Ga 0.166 0.113 0.303
Ga 0.166 0.387 0.803
Ga 0.834 0.613 0.197
Ga 0.834 0.887 0.697
Sn 0.210 0.701 0.660
Sn 0.210 0.799 0.160
Sn 0.790 0.201 0.840
Sn 0.790 0.299 0.340
Se 0.346 0.133 0.705
Se 0.346 0.367 0.205
Se 0.654 0.633 0.795
Se 0.654 0.867 0.295

---

Below is a geometry-optimized GaSn2Se structure, with properties calculated at the PBE level.

- raw formation energy (eV/atom) = 0.05
- final energy (eV per atom) = -3.58
- DOS at the Fermi energy (states/eV per atom) = 0.49
- calculated density (g/cm3) = 6.7

a = 5.136 Å, b = 5.136 Å, c = 5.136 Å
α = 60.00°, β = 60.00°, γ = 60.00°
Fractional coordinates of all 4 atoms:
Ga 0.000 0.000 0.000
Sn 0.250 0.250 0.250
Sn 0.750 0.750 0.750
Se 0.500 0.500 0.500

---

Below is a geometry-optimized GaSn4Se6 structure, with properties calculated at the PBE level.

- raw formation energy (eV/atom) = -0.40
- final energy (eV per atom) = -4.03
- DOS at the Fermi energy (states/eV per atom) = 0.28
- calculated density (g/cm3) = 4.9

a = 8.595 Å, b = 8.595 Å, c = 13.249 Å
α = 115.20°, β = 115.20°, γ = 53.08°
Fractional coordinates of all 22 atoms:
Ga 0.212 0.788 0.500
Ga 0.788 0.212 0.000
Sn 0.263 0.291 0.573
Sn 0.272 0.907 0.265
Sn 0.291 0.263 0.073
Sn 0.302 0.635 0.904
Sn 0.635 0.302 0.404
Sn 0.639 0.835 0.772
Sn 0.835 0.639 0.272
Sn 0.907 0.272 0.765
Se 0.019 0.890 0.046
Se 0.038 0.499 0.730
Se 0.155 0.664 0.294
Se 0.286 0.999 0.866
Se 0.436 0.503 0.591
Se 0.463 0.875 0.549
Se 0.499 0.038 0.230
Se 0.503 0.436 0.091
Se 0.664 0.155 0.794
Se 0.875 0.463 0.049
Se 0.890 0.019 0.546
Se 0.999 0.286 0.366

---

Below is a geometry-optimized GaSnSe2 structure, with properties calculated at the PBE level.

- raw formation energy (eV/atom) = -0.14
- final energy (eV per atom) = -3.64
- DOS at the Fermi energy (states/eV per atom) = 0.41
- calculated density (g/cm3) = 4.8

a = 9.253 Å, b = 9.253 Å, c = 9.253 Å
α = 24.40°, β = 24.40°, γ = 24.40°
Fractional coordinates of all 4 atoms:
Ga 0.000 0.000 0.000
Sn 0.500 0.500 0.500
Se 0.106 0.106 0.106
Se 0.894 0.894 0.894

---

Below is a geometry-optimized GaSnSe3 structure, with properties calculated at the PBE level.

- raw formation energy (eV/atom) = -0.45
- final energy (eV per atom) = -3.95
- DOS at the Fermi energy (states/eV per atom) = 0.40
- calculated density (g/cm3) = 4.9

a = 11.159 Å, b = 11.159 Å, c = 6.709 Å
α = 90.00°, β = 90.00°, γ = 159.71°
Fractional coordinates of all 10 atoms:
Ga 0.124 0.876 0.500
Ga 0.876 0.124 0.000
Sn 0.333 0.667 0.438
Sn 0.667 0.333 0.938
Se 0.102 0.898 0.147
Se 0.223 0.777 0.675
Se 0.428 0.572 0.150
Se 0.572 0.428 0.650
Se 0.777 0.223 0.175
Se 0.898 0.102 0.647

---

Below is a geometry-optimized GaSnSe2 structure, with properties calculated at the PBE level.

- raw formation energy (eV/atom) = -0.38
- final energy (eV per atom) = -3.88
- DOS at the Fermi energy (states/eV per atom) = 0.10
- calculated density (g/cm3) = 5.4

a = 3.788 Å, b = 5.183 Å, c = 10.818 Å
α = 90.00°, β = 90.00°, γ = 90.00°
Fractional coordinates of all 8 atoms:
Ga 0.000 0.006 0.000
Ga 0.000 0.994 0.500
Sn 0.500 0.431 0.924
Sn 0.500 0.569 0.424
Se 0.000 0.277 0.306
Se 0.000 0.723 0.806
Se 0.500 0.220 0.615
Se 0.500 0.780 0.115

---

Which of these has the lowest DOS at the Fermi energy? Ga4SnSe7

---

Look up the calculated density of the fourth one. 5.9 g/cm3